# 1
The following is a PBE calculation of a relaxed structure of Zn2InCo2, from the Alexandria database.

Cell: 6.6677 6.6677 3.2869 Å, 90.00 90.00 90.00°
Last column: nearest neighbours and their distance in Å.
Sites, in units of the cell vectors:
1 Zn 0.1594 0.3406 0.0000  6 Co 2.54-2.58
2 Zn 0.3406 0.8406 0.0000  6 Co 2.54-2.58
3 Zn 0.6594 0.1594 0.0000  6 Co 2.54-2.58
4 Zn 0.8406 0.6594 0.0000  6 Co 2.54-2.58
5 In 0.0000 0.0000 0.5000  4 Co 2.61
6 In 0.5000 0.5000 0.5000  4 Co 2.61
7 Co 0.1303 0.6303 0.5000  1 Co 2.46, 6 Zn 2.54-2.58, 2 In 2.61
8 Co 0.3697 0.1303 0.5000  1 Co 2.46, 6 Zn 2.54-2.58, 2 In 2.61
9 Co 0.6303 0.8697 0.5000  1 Co 2.46, 6 Zn 2.54-2.58, 2 In 2.61
10 Co 0.8697 0.3697 0.5000  1 Co 2.46, 6 Zn 2.54-2.58, 2 In 2.61

---

# 2
The following is a PBE calculation of a relaxed structure of Zn3InCo, from the Alexandria database.

Cell: 4.6288 4.6288 4.6288 Å, 90.00 90.00 90.00°
Last column: nearest neighbours and their distance in Å.
Sites, in units of the cell vectors:
1 Zn 0.0000 0.0000 0.5000  2 Co 2.31
2 Zn 0.0000 0.5000 0.0000  2 Co 2.31
3 Zn 0.5000 0.0000 0.0000  2 Co 2.31
4 In 0.5000 0.5000 0.5000  12 Zn 3.27
5 Co 0.0000 0.0000 0.0000  6 Zn 2.31

---

# 3
The following is a PBE calculation of a relaxed structure of ZnIn3Co, from the Alexandria database.

Cell: 4.9664 4.9664 4.9664 Å, 90.00 90.00 90.00°
Last column: nearest neighbours and their distance in Å.
Sites, in units of the cell vectors:
1 Zn 0.0000 0.0000 0.0000  12 In 3.51
2 In 0.0000 0.5000 0.5000  2 Co 2.48
3 In 0.5000 0.0000 0.5000  2 Co 2.48
4 In 0.5000 0.5000 0.0000  2 Co 2.48
5 Co 0.5000 0.5000 0.5000  6 In 2.48

---

# 4
The following is a PBE calculation of a relaxed structure of Zn2InCo2, from the Alexandria database.

Cell: 6.9792 6.9792 2.8636 Å, 90.00 90.00 90.00°
Last column: nearest neighbours and their distance in Å.
Sites, in units of the cell vectors:
1 Zn 0.1250 0.3750 0.0000  1 Zn 2.47, 6 Co 2.47-2.53, 2 In 2.76
2 Zn 0.3750 0.8750 0.0000  1 Zn 2.47, 6 Co 2.47-2.53, 2 In 2.76
3 Zn 0.6250 0.1250 0.0000  1 Zn 2.47, 6 Co 2.47-2.53, 2 In 2.76
4 Zn 0.8750 0.6250 0.0000  1 Zn 2.47, 6 Co 2.47-2.53, 2 In 2.76
5 In 0.0000 0.0000 0.0000  4 Zn 2.76, 2 In 2.86, 8 Co 2.96
6 In 0.5000 0.5000 0.0000  4 Zn 2.76, 2 In 2.86, 8 Co 2.96
7 Co 0.1709 0.6709 0.5000  6 Zn 2.47-2.53
8 Co 0.3291 0.1709 0.5000  6 Zn 2.47-2.53
9 Co 0.6709 0.8291 0.5000  6 Zn 2.47-2.53
10 Co 0.8291 0.3291 0.5000  6 Zn 2.47-2.53

---

| no. | DFT total energy (eV/cell) | magnetization (μB per formula unit) |
| --- | --- | --- |
| 1 | -37.80 | 1.79 |
| 2 | -12.23 | 0.00 |
| 3 | -15.97 | 0.00 |
| 4 | -37.70 | 0.00 |